(1)
The following is a meta-GGA SCAN calculation of a crystal of Li4Cr3Ni3W2O16 relaxed with PBEsol, from Alexandria via LeMat-Bulk.

Cell and atoms, written as extended XYZ:
```
28
Lattice="5.7798 0.0089 -0.0205 2.8583 5.0235 -0.0205 -0.0959 -0.0559 9.4700" Properties=species:S:1:pos:R:3 pbc="T T T"
Li 2.8932 1.6855 0.8972
Li 0.0256 0.0149 0.1021
Li -0.0478 -0.0278 4.7961
Li 5.6980 3.3196 5.6005
Cr 4.2097 0.7968 7.4200
Cr 2.7693 3.2692 7.4200
Cr 7.1306 4.1542 2.6518
Ni 1.3882 0.8087 7.4475
Ni 5.7396 1.6949 2.6908
Ni 4.3052 4.1571 2.6908
W 2.8065 1.6350 4.8115
W 5.7442 3.3465 0.0979
O 4.2152 0.8046 3.8659
O 4.0807 2.3774 6.2394
O 2.8423 1.6559 8.4250
O 8.5249 4.9665 6.5317
O 8.5970 5.0086 1.8342
O 2.7788 3.2701 3.8659
O 2.8556 0.1563 6.1839
O 1.5443 2.4071 6.1839
O 7.0837 4.1269 8.5137
O 1.4136 0.8235 3.9081
O 7.0859 2.6629 1.3943
O 5.8112 4.8508 1.3943
O 5.7498 3.3498 3.6521
O 5.6539 1.6702 8.5859
O 4.4926 2.6173 1.4051
O 4.2414 4.0948 8.5859
```

Results
total DFT energy (no corrections)	-412.38	eV/cell
D(E_F)	0.22	states/eV per atom
ΔE_f (raw)	-2.145	eV per atom

(2)
The following is a meta-GGA SCAN calculation of a crystal of Li6Cr2O7 relaxed with PBEsol, from Alexandria via LeMat-Bulk.

Cell and atoms, written as extended XYZ:
```
30
Lattice="4.9511 0.0000 0.0161 0.0000 5.6753 0.0000 -1.5487 0.0000 8.9642" Properties=species:S:1:pos:R:3 pbc="T T T"
Li 0.1061 1.5653 3.2838
Li 0.1055 4.1126 3.2837
Li 2.2239 0.0013 3.3136
Li 1.5957 1.2750 1.2064
Li 1.5951 4.4029 1.2063
Li 4.4283 2.8389 1.1927
Li -1.0259 2.8363 7.7876
Li 1.8073 1.2724 7.7740
Li 1.8067 4.4003 7.7739
Li 1.1784 5.6740 5.6667
Li 3.2969 1.5626 5.6966
Li 3.2963 4.1100 5.6965
Cr 2.5537 2.8386 3.2936
Cr 4.0985 0.0010 1.2127
Cr -0.6962 5.6743 7.7676
Cr 0.8487 2.8366 5.6867
O -0.7743 2.8376 4.4821
O 1.7017 1.5697 4.4897
O 1.0980 2.8391 2.2055
O 0.6032 0.0015 2.2846
O 3.3260 4.2588 2.2549
O 3.3263 1.4211 2.2514
O 4.9505 4.4073 0.0166
O -1.5482 1.2679 8.9637
O 2.4755 0.0000 0.0081
O 0.0761 4.2541 6.7289
O 0.0764 1.4165 6.7254
O 2.7992 5.6738 6.6957
O 2.3044 2.8362 6.7748
O 1.7007 4.1056 4.4907
```

Results
total DFT energy (no corrections)	-256.41	eV/cell
D(E_F)	0.31	states/eV per atom
ΔE_f (raw)	-2.232	eV per atom

(3)
The following is a meta-GGA SCAN calculation of a crystal of Li15Cr2O12 relaxed with PBEsol, from Alexandria via LeMat-Bulk.

Cell and atoms, written as extended XYZ:
```
29
Lattice="5.2226 0.0608 -0.0011 0.0510 5.8543 0.0199 -0.0281 -0.6165 7.9182" Properties=species:S:1:pos:R:3 pbc="T T T"
Li 5.1829 3.2544 4.7945
Li 0.6658 0.9929 4.9872
Li 1.0797 3.5050 7.0041
Li 1.0961 5.3611 2.5166
Li 1.5931 3.2368 1.5388
Li 1.7855 4.5593 4.9589
Li 1.9053 0.8685 6.9758
Li 2.7289 1.0927 1.3908
Li 3.3094 4.6766 0.8229
Li 3.4742 0.1369 3.6240
Li 3.5889 2.3385 6.2220
Li 4.0807 5.0682 6.0517
Li 4.4714 2.6778 0.4454
Li 4.4820 4.1165 2.8066
Li 5.1437 1.7067 2.6162
Cr 2.6161 2.5668 3.8381
Cr 0.0352 0.1613 0.1488
O 0.7479 -0.4370 6.2703
O 0.8763 1.7171 0.6750
O 1.0703 3.6175 3.3222
O 1.5137 4.9900 0.7307
O 1.7966 0.9828 3.3560
O 1.7710 2.4748 5.6050
O 3.3886 2.8230 2.0709
O 3.5212 4.2390 4.4251
O 3.7241 0.5307 7.4675
O 4.1659 1.6817 4.4508
O 4.4359 3.6910 7.3729
O 4.4146 -0.0391 1.8760
```

Results
total DFT energy (no corrections)	-207.80	eV/cell
D(E_F)	0.20	states/eV per atom
ΔE_f (raw)	-2.083	eV per atom

(4)
The following is a meta-GGA SCAN calculation of a crystal of Li4CrO4 relaxed with PBEsol, from Alexandria via LeMat-Bulk.

Cell and atoms, written as extended XYZ:
```
18
Lattice="-4.7335 1.3717 2.0651 0.9743 -3.6838 3.7461 2.7036 4.1880 3.4152" Properties=species:S:1:pos:R:3 pbc="T T T"
Li -3.8195 0.5621 2.3343
Li -2.4677 2.6561 4.0419
Li 1.4119 -0.7801 5.1845
Li 0.0602 -2.8741 3.4769
Li 0.1438 3.2550 3.9129
Li -2.8956 0.1231 4.8140
Li -1.1995 -1.3791 5.3135
Li 1.8398 1.7529 4.4124
Cr -0.6000 0.2623 2.8261
Cr -0.4557 1.6137 6.4003
O -2.1813 0.9809 3.1967
O -1.1282 2.8913 5.3660
O 1.1256 0.8950 6.0297
O 0.0725 -1.0153 3.8605
O -0.7558 -0.4534 1.2027
O -0.3000 2.3294 8.0237
O -1.6272 0.2733 6.3470
O 0.5715 1.6027 2.8794
```

Results
energy above the most stable polymorph in this dataset	0	meV/atom
total DFT energy (no corrections)	-145.81	eV/cell
D(E_F)	0.00	states/eV per atom
ΔE_f (raw)	-2.226	eV per atom

(5)
The following is a meta-GGA SCAN calculation of a crystal of Li8CrO6 relaxed with PBEsol, from Alexandria via LeMat-Bulk.

Cell and atoms, written as extended XYZ:
```
30
Lattice="-2.1902 2.1090 4.5491 2.8783 -4.6468 0.2493 8.9319 5.6234 1.6933" Properties=species:S:1:pos:R:3 pbc="T T T"
Li 5.8625 4.7788 2.6598
Li 2.4630 2.9175 2.4124
Li 6.4553 6.1853 4.2428
Li 0.5726 2.7606 3.5246
Li 2.0170 -1.8734 1.8396
Li 6.4829 0.9383 2.6863
Li 7.0191 2.3747 4.5429
Li 3.7397 0.5477 3.5477
Li 8.0569 3.9082 3.3568
Li 4.0603 -1.8882 0.5659
Li 2.2943 0.5178 1.8909
Li 9.5376 2.0769 1.6280
Li 4.7934 3.1902 4.1196
Li 0.3275 0.3785 3.2729
Li 4.4492 0.2701 0.7274
Li 7.4433 2.6718 1.3187
Cr 4.5097 2.8393 0.8550
Cr 0.0438 0.0276 0.0083
O 4.2356 3.7439 2.3361
O -1.0677 1.7385 3.2288
O 3.7133 -0.8055 2.1612
O 2.9905 1.8828 0.5670
O 7.4565 4.6945 1.4136
O 8.1792 2.0062 3.0079
O 5.3876 1.3385 4.2478
O 2.4355 -2.9309 0.2569
O 0.6586 -0.5029 1.5665
O 6.4897 4.2581 4.4412
O 2.0238 1.4464 3.5945
O 5.8009 1.6575 1.0082
```

Results
energy above the most stable polymorph in this dataset	0	meV/atom
total DFT energy (no corrections)	-214.19	eV/cell
D(E_F)	0.00	states/eV per atom
ΔE_f (raw)	-2.147	eV per atom

(6)
The following is a meta-GGA SCAN calculation of a crystal of Li2CrO relaxed with PBEsol, from Alexandria via LeMat-Bulk.

Cell and atoms, written as extended XYZ:
```
8
Lattice="-0.6790 -0.9693 -3.6255 -3.8805 -4.0457 -0.1975 -4.1353 3.1691 -2.0787" Properties=species:S:1:pos:R:3 pbc="T T T"
Cr -4.5171 -1.1653 -3.8573
Cr 0.0000 0.0000 0.0000
O -4.1776 -0.6806 -2.0445
O -0.3395 -0.4847 -1.8128
Li -4.9678 -2.5958 -1.8860
Li -3.5572 0.9922 -3.1094
Li -2.2319 -1.3388 -1.7315
Li -6.6326 -0.7494 -5.0767
```

Results
total DFT energy (no corrections)	-66.24	eV/cell
D(E_F)	0.34	states/eV per atom
ΔE_f (raw)	-0.932	eV per atom